1.
Entry from Alexandria via LeMat-Bulk: crystalline Li2ThAu4 at its relaxed geometry (PBE).

Cell lengths 5.689, 5.689, 5.330 Å; angles 117.67, 117.67, 77.45 degrees
Atoms (fractional coordinates):
Li (0.000, 0.000, 0.250)
Li (0.000, 0.000, 0.750)
Th (0.500, 0.500, 0.000)
Au (0.100, 0.500, 0.300)
Au (0.500, 0.100, 0.300)
Au (0.500, 0.900, 0.700)
Au (0.900, 0.500, 0.700)

- M_tot (Bohr magnetons per cell) = 0.000
- energy relative to the elements (meV per atom) = -647
- raw total energy (eV per cell) = -28.883



2.
Entry from Alexandria via LeMat-Bulk: crystalline LiThAu2 at its relaxed geometry (PBE).

Cell lengths 5.043, 5.043, 3.548 Å; angles 90.00, 90.00, 90.00 degrees
Atoms (fractional coordinates):
Li (0.000, 0.000, 0.000)
Th (0.500, 0.500, 0.000)
Au (0.000, 0.500, 0.500)
Au (0.500, 0.000, 0.500)

- M_tot (Bohr magnetons per cell) = 0.000
- ΔE to the lowest computed polymorph (eV/atom) = 0.1264
- energy relative to the elements (meV per atom) = -508
- raw total energy (eV per cell) = -17.922



3.
Entry from Alexandria via LeMat-Bulk: crystalline Li3Th2Au4 at its relaxed geometry (PBE).

Cell lengths 8.476, 8.476, 8.107 Å; angles 90.00, 90.00, 141.26 degrees
Atoms (fractional coordinates):
Li (0.000, 0.000, 0.000)
Li (0.037, 0.463, 0.250)
Li (0.463, 0.037, 0.750)
Li (0.500, 0.500, 0.500)
Li (0.537, 0.963, 0.250)
Li (0.963, 0.537, 0.750)
Th (0.116, 0.884, 0.415)
Th (0.384, 0.616, 0.915)
Th (0.616, 0.384, 0.085)
Th (0.884, 0.116, 0.585)
Au (0.189, 0.811, 0.043)
Au (0.202, 0.298, 0.250)
Au (0.298, 0.202, 0.750)
Au (0.311, 0.689, 0.543)
Au (0.689, 0.311, 0.457)
Au (0.702, 0.798, 0.250)
Au (0.798, 0.702, 0.750)
Au (0.811, 0.189, 0.957)

- M_tot (Bohr magnetons per cell) = 0.000
- energy relative to the elements (meV per atom) = -515
- raw total energy (eV per cell) = -76.651



4.
Entry from Alexandria via LeMat-Bulk: crystalline LiThAu at its relaxed geometry (PBE).

Cell lengths 9.178, 9.178, 3.979 Å; angles 90.00, 90.00, 154.36 degrees
Atoms (fractional coordinates):
Li (0.249, 0.751, 0.750)
Li (0.751, 0.249, 0.250)
Th (0.082, 0.918, 0.250)
Th (0.918, 0.082, 0.750)
Au (0.359, 0.641, 0.250)
Au (0.641, 0.359, 0.750)

- M_tot (Bohr magnetons per cell) = 0.000
- ΔE to the lowest computed polymorph (eV/atom) = 0.1476
- energy relative to the elements (meV per atom) = -329
- raw total energy (eV per cell) = -27.194



5.
Entry from Alexandria via LeMat-Bulk: crystalline Li5ThAu4 at its relaxed geometry (PBE).

Cell lengths 3.293, 3.293, 15.916 Å; angles 90.00, 90.00, 90.00 degrees
Atoms (fractional coordinates):
Li (0.000, 0.000, 0.000)
Li (0.000, 0.000, 0.182)
Li (0.000, 0.000, 0.354)
Li (0.000, 0.000, 0.646)
Li (0.000, 0.000, 0.818)
Th (0.500, 0.500, 0.500)
Au (0.500, 0.500, 0.092)
Au (0.500, 0.500, 0.279)
Au (0.500, 0.500, 0.721)
Au (0.500, 0.500, 0.908)

- M_tot (Bohr magnetons per cell) = 0.000
- energy relative to the elements (meV per atom) = -397
- raw total energy (eV per cell) = -34.064



6.
Entry from Alexandria via LeMat-Bulk: crystalline LiTm2ThAu4 at its relaxed geometry (PBE).

Cell lengths 8.940, 8.940, 8.940 Å; angles 32.06, 32.06, 32.06 degrees
Atoms (fractional coordinates):
Li (0.000, 0.000, 0.000)
Tm (0.262, 0.262, 0.262)
Tm (0.738, 0.738, 0.738)
Th (0.500, 0.500, 0.500)
Au (0.111, 0.111, 0.111)
Au (0.379, 0.379, 0.379)
Au (0.621, 0.621, 0.621)
Au (0.889, 0.889, 0.889)

- M_tot (Bohr magnetons per cell) = 0.000
- energy relative to the elements (meV per atom) = -712
- raw total energy (eV per cell) = -37.086



7.
Entry from Alexandria via LeMat-Bulk: crystalline LiTmThAu at its relaxed geometry (PBE).

Cell lengths 5.160, 5.160, 5.160 Å; angles 60.00, 60.00, 60.00 degrees
Atoms (fractional coordinates):
Li (0.000, 0.000, 0.000)
Tm (0.250, 0.250, 0.250)
Th (0.750, 0.750, 0.750)
Au (0.500, 0.500, 0.500)

- M_tot (Bohr magnetons per cell) = 0.012
- energy relative to the elements (meV per atom) = -232
- raw total energy (eV per cell) = -18.010



8.
Entry from Alexandria via LeMat-Bulk: crystalline LiYThAu at its relaxed geometry (PBE).

Cell lengths 5.196, 5.196, 5.196 Å; angles 60.00, 60.00, 60.00 degrees
Atoms (fractional coordinates):
Li (0.000, 0.000, 0.000)
Y (0.250, 0.250, 0.250)
Th (0.750, 0.750, 0.750)
Au (0.500, 0.500, 0.500)

- M_tot (Bohr magnetons per cell) = 0.481
- energy relative to the elements (meV per atom) = -230
- raw total energy (eV per cell) = -19.994



9.
Entry from Alexandria via LeMat-Bulk: crystalline LiY2ThAu4 at its relaxed geometry (PBE).

Cell lengths 8.922, 8.922, 8.922 Å; angles 32.63, 32.63, 32.63 degrees
Atoms (fractional coordinates):
Li (0.000, 0.000, 0.000)
Y (0.262, 0.262, 0.262)
Y (0.738, 0.738, 0.738)
Th (0.500, 0.500, 0.500)
Au (0.114, 0.114, 0.114)
Au (0.380, 0.380, 0.380)
Au (0.620, 0.620, 0.620)
Au (0.886, 0.886, 0.886)

- M_tot (Bohr magnetons per cell) = 0.000
- energy relative to the elements (meV per atom) = -698
- raw total energy (eV per cell) = -40.955



10.
Entry from Alexandria via LeMat-Bulk: crystalline LiThZnAu at its relaxed geometry (PBE).

Cell lengths 4.958, 4.958, 4.958 Å; angles 60.00, 60.00, 60.00 degrees
Atoms (fractional coordinates):
Li (0.000, 0.000, 0.000)
Th (0.500, 0.500, 0.500)
Zn (0.750, 0.750, 0.750)
Au (0.250, 0.250, 0.250)

- M_tot (Bohr magnetons per cell) = 0.000
- energy relative to the elements (meV per atom) = -374
- raw total energy (eV per cell) = -15.381



11.
Entry from Alexandria via LeMat-Bulk: crystalline Li2ThZn2Au2 at its relaxed geometry (PBE).

Cell lengths 4.495, 4.495, 8.006 Å; angles 105.88, 105.88, 60.04 degrees
Atoms (fractional coordinates):
Li (0.143, 0.143, 0.432)
Li (0.857, 0.857, 0.568)
Th (0.000, 0.000, 0.000)
Zn (0.435, 0.435, 0.309)
Zn (0.565, 0.565, 0.691)
Au (0.259, 0.259, 0.776)
Au (0.741, 0.741, 0.224)

- M_tot (Bohr magnetons per cell) = 0.000
- energy relative to the elements (meV per atom) = -447
- raw total energy (eV per cell) = -23.478



12.
Entry from Alexandria via LeMat-Bulk: crystalline LiThZn5Au2 at its relaxed geometry (PBE).

Cell lengths 4.834, 4.834, 7.947 Å; angles 90.00, 90.00, 90.00 degrees
Atoms (fractional coordinates):
Li (0.000, 0.000, 0.000)
Th (0.000, 0.000, 0.500)
Zn (0.000, 0.500, 0.259)
Zn (0.000, 0.500, 0.741)
Zn (0.500, 0.000, 0.259)
Zn (0.500, 0.000, 0.741)
Zn (0.500, 0.500, 0.500)
Au (0.500, 0.500, 0.169)
Au (0.500, 0.500, 0.831)

- M_tot (Bohr magnetons per cell) = 0.000
- energy relative to the elements (meV per atom) = -44
- raw total energy (eV per cell) = -22.650